(A)
The following is a DFT calculation (PBE) of a relaxed structure of SrSb2IF.

As for the calculated volume: 247.1 Å³ per cell. For the calculated density, the calculation gives 3.21 g/cm³. The density of states at the Fermi level is 11.3 states/eV per cell.

CIF file:
```
data_SrSb2IF
_cell_length_a 6.346
_cell_length_b 6.346
_cell_length_c 6.136
_cell_angle_alpha 90.00
_cell_angle_beta 90.00
_cell_angle_gamma 90.00
_symmetry_space_group_name_H-M 'P 4/m m m'
_symmetry_Int_Tables_number 123
_symmetry_space_group_name_Hall '-P 4 2'
loop_
_atom_site_label
_atom_site_fract_x
_atom_site_fract_y
_atom_site_fract_z
_atom_site_occupancy
Sr1 0.000 0.000 0.000 1
Sb1 0.000 0.500 0.000 1
I1 0.000 0.000 0.500 1
F1 0.500 0.500 0.500 1
```

=====

(B)
The following is a DFT calculation (PBE) of a relaxed structure of SrSb2IF.

As for the calculated volume: 147.8 Å³ per cell. For the calculated density, the calculation gives 5.36 g/cm³. The density of states at the Fermi level is 3.9 states/eV per cell.

CIF file:
```
data_SrSb2IF
_cell_length_a 4.777
_cell_length_b 4.777
_cell_length_c 6.476
_cell_angle_alpha 90.00
_cell_angle_beta 90.00
_cell_angle_gamma 90.00
_symmetry_space_group_name_H-M 'P 4/m m m'
_symmetry_Int_Tables_number 123
_symmetry_space_group_name_Hall '-P 4 2'
loop_
_atom_site_label
_atom_site_fract_x
_atom_site_fract_y
_atom_site_fract_z
_atom_site_occupancy
Sr1 0.000 0.000 0.000 1
Sb1 0.000 0.500 0.500 1
I1 0.500 0.500 0.000 1
F1 0.500 0.500 0.500 1
```

=====

Stability check: which of them is most stable? (B).

=====

(A)
The following is a DFT calculation (PBE) of a relaxed structure of TcSbI2F.

As for the calculated volume: 128.8 Å³ per cell. For the calculated density, the calculation gives 6.35 g/cm³. The density of states at the Fermi level is 4.5 states/eV per cell.

CIF file:
```
data_TcSbI2F
_cell_length_a 5.606
_cell_length_b 5.606
_cell_length_c 4.100
_cell_angle_alpha 90.00
_cell_angle_beta 90.00
_cell_angle_gamma 90.00
_symmetry_space_group_name_H-M 'P 4/m m m'
_symmetry_Int_Tables_number 123
_symmetry_space_group_name_Hall '-P 4 2'
loop_
_atom_site_label
_atom_site_fract_x
_atom_site_fract_y
_atom_site_fract_z
_atom_site_occupancy
Tc1 0.000 0.000 0.000 1
Sb1 0.500 0.500 0.500 1
I1 0.000 0.500 0.000 1
F1 0.000 0.000 0.500 1
```

=====

(B)
The following is a DFT calculation (PBE) of a relaxed structure of TcSbI2F.

As for the calculated volume: 150.4 Å³ per cell. For the calculated density, the calculation gives 5.44 g/cm³. The density of states at the Fermi level is 7.2 states/eV per cell.

CIF file:
```
data_TcSbI2F
_cell_length_a 5.406
_cell_length_b 5.406
_cell_length_c 5.146
_cell_angle_alpha 90.00
_cell_angle_beta 90.00
_cell_angle_gamma 90.00
_symmetry_space_group_name_H-M 'P 4/m m m'
_symmetry_Int_Tables_number 123
_symmetry_space_group_name_Hall '-P 4 2'
loop_
_atom_site_label
_atom_site_fract_x
_atom_site_fract_y
_atom_site_fract_z
_atom_site_occupancy
Tc1 0.000 0.000 0.000 1
Sb1 0.000 0.000 0.500 1
I1 0.000 0.500 0.000 1
F1 0.500 0.500 0.500 1
```

=====

(C)
The following is a DFT calculation (PBE) of a relaxed structure of TcSbI2F.

As for the calculated volume: 143.6 Å³ per cell. For the calculated density, the calculation gives 5.70 g/cm³. The density of states at the Fermi level is 3.7 states/eV per cell.

CIF file:
```
data_TcSbI2F
_cell_length_a 5.839
_cell_length_b 5.839
_cell_length_c 4.210
_cell_angle_alpha 90.00
_cell_angle_beta 90.00
_cell_angle_gamma 90.00
_symmetry_space_group_name_H-M 'P 4/m m m'
_symmetry_Int_Tables_number 123
_symmetry_space_group_name_Hall '-P 4 2'
loop_
_atom_site_label
_atom_site_fract_x
_atom_site_fract_y
_atom_site_fract_z
_atom_site_occupancy
Tc1 0.000 0.000 0.000 1
Sb1 0.500 0.500 0.000 1
I1 0.000 0.500 0.500 1
F1 0.500 0.500 0.500 1
```

=====

Stability check: which of them is most stable? (A).